# 1
Pu3Fe5C2, optimized geometry, DFT GGA-PBE; ΔH_f (0 K) = 1.0 eV per formula unit; space group = No. 72
1.0
-4.2699 5.6705 2.7090
4.2699 -5.6705 2.7090
4.2699 5.6705 -2.7090
Pu Fe C
6 10 4
Direct
0.1424 0.2220 0.3643 Pu
0.2500 0.2500 0.0000 Pu
0.3576 0.7220 0.0796 Pu
0.6424 0.2780 0.9204 Pu
0.7500 0.7500 0.0000 Pu
0.8576 0.7780 0.6357 Pu
0.0323 0.7500 0.2823 Fe
0.1061 0.6986 0.8047 Fe
0.2500 0.7500 0.5000 Fe
0.3939 0.1986 0.5925 Fe
0.4677 0.7500 0.7177 Fe
0.5323 0.2500 0.2823 Fe
0.6061 0.8014 0.4075 Fe
0.7500 0.2500 0.5000 Fe
0.8939 0.3014 0.1953 Fe
0.9677 0.2500 0.7177 Fe
0.1796 0.9063 0.0860 C
0.3204 0.4063 0.7267 C
0.6796 0.5937 0.2733 C
0.8204 0.0937 0.9140 C


# 2
PuFeC, optimized geometry, DFT GGA-PBE; ΔH_f (0 K) = 0.2 eV per formula unit; space group = No. 187; excess energy over the best structure of this formula in the dataset = 71 meV per atom
1.0
3.5566 0.0000 0.0000
-1.7783 3.0801 0.0000
0.0000 0.0000 3.6611
Pu Fe C
1 1 1
Direct
0.0000 0.0000 0.0000 Pu
0.6667 0.3333 0.5000 Fe
0.3333 0.6667 0.5000 C